No. 1
Computed, not measured: crystalline Ce4TlPd15 at its relaxed geometry at the PBE level of DFT.

a = 4.1512 Å, b = 4.1512 Å, c = 20.6404 Å
α = 90.00°, β = 90.00°, γ = 90.00°
Fractional coordinates of all 20 atoms:
Ce  0.0000  0.0000  0.1013
Ce  0.0000  0.0000  0.3042
Ce  0.0000  0.0000  0.6958
Ce  0.0000  0.0000  0.8987
Tl  0.0000  0.0000  0.5000
Pd  0.0000  0.5000  0.0000
Pd  0.0000  0.5000  0.2014
Pd  0.0000  0.5000  0.4001
Pd  0.0000  0.5000  0.5999
Pd  0.0000  0.5000  0.7986
Pd  0.5000  0.0000  0.0000
Pd  0.5000  0.0000  0.2014
Pd  0.5000  0.0000  0.4001
Pd  0.5000  0.0000  0.5999
Pd  0.5000  0.0000  0.7986
Pd  0.5000  0.5000  0.1004
Pd  0.5000  0.5000  0.3015
Pd  0.5000  0.5000  0.5000
Pd  0.5000  0.5000  0.6985
Pd  0.5000  0.5000  0.8996

Values from the calculation:
ρ = 11.0 g cm⁻³
Energy relative to the elements = -14.29 eV per formula unit
M_tot = 1.29 μB per cell
Calculated total energy = -5.91 eV per atom
Crystal system = tetragonal
Density of states at the Fermi level = 0.84 states/eV per atom

***

No. 2
Computed, not measured: crystalline CdPd2W at its relaxed geometry at the PBE level of DFT.

a = 9.4022 Å, b = 9.4022 Å, c = 9.4022 Å
α = 17.57°, β = 17.57°, γ = 17.57°
Fractional coordinates of all 4 atoms:
Cd  0.0000  0.0000  0.0000
Pd  0.2463  0.2463  0.2463
Pd  0.7537  0.7537  0.7537
W  0.5000  0.5000  0.5000

Values from the calculation:
ρ = 12.8 g cm⁻³
Energy relative to the elements = -0.10 eV per formula unit
M_tot = 0.00 μB per cell
Calculated total energy = -6.09 eV per atom
Crystal system = trigonal
Density of states at the Fermi level = 1.06 states/eV per atom

***

No. 3
Computed, not measured: crystalline Na3H9Ir2 at its relaxed geometry at the PBE level of DFT.

a = 5.1442 Å, b = 5.1442 Å, c = 13.6680 Å
α = 90.00°, β = 90.00°, γ = 120.00°
Fractional coordinates of all 28 atoms:
Na  0.0000  0.0000  0.2500
Na  0.0000  0.0000  0.7500
Na  0.3333  0.6667  0.0797
Na  0.3333  0.6667  0.4203
Na  0.6667  0.3333  0.5797
Na  0.6667  0.3333  0.9203
H  0.0256  0.5128  0.7500
H  0.1960  0.3920  0.5800
H  0.1960  0.3920  0.9200
H  0.1960  0.8040  0.5800
H  0.1960  0.8040  0.9200
H  0.3920  0.1960  0.0800
H  0.3920  0.1960  0.4200
H  0.4872  0.5128  0.7500
H  0.4872  0.9744  0.7500
H  0.5128  0.0256  0.2500
H  0.5128  0.4872  0.2500
H  0.6080  0.8040  0.5800
H  0.6080  0.8040  0.9200
H  0.8040  0.1960  0.0800
H  0.8040  0.1960  0.4200
H  0.8040  0.6080  0.0800
H  0.8040  0.6080  0.4200
H  0.9744  0.4872  0.2500
Ir  0.3333  0.6667  0.6578
Ir  0.3333  0.6667  0.8422
Ir  0.6667  0.3333  0.1578
Ir  0.6667  0.3333  0.3422

Values from the calculation:
ρ = 4.9 g cm⁻³
M_tot = 0.00 μB per cell
Calculated total energy = -4.00 eV per atom
Crystal system = hexagonal
Density of states at the Fermi level = 0.00 states/eV per atom

***

No. 4
Computed, not measured: crystalline InW3 at its relaxed geometry at the PBE level of DFT.

a = 2.8794 Å, b = 2.8794 Å, c = 9.6748 Å
α = 90.00°, β = 90.00°, γ = 120.00°
Fractional coordinates of all 4 atoms:
In  0.0000  0.0000  0.0000
W  0.0000  0.0000  0.5000
W  0.6667  0.3333  0.2569
W  0.6667  0.3333  0.7431

Values from the calculation:
ρ = 15.9 g cm⁻³
Energy relative to the elements = 2.19 eV per formula unit
M_tot = 0.00 μB per cell
Calculated total energy = -9.85 eV per atom
Crystal system = hexagonal
Density of states at the Fermi level = 0.87 states/eV per atom

***

No. 5
Computed, not measured: crystalline Y2IrPb at its relaxed geometry at the PBE level of DFT.

a = 6.5867 Å, b = 6.5867 Å, c = 6.5867 Å
α = 104.97°, β = 104.97°, γ = 118.90°
Fractional coordinates of all 8 atoms:
Y  0.0742  0.1250  0.4492
Y  0.3750  0.9258  0.0508
Y  0.6758  0.6250  0.5508
Y  0.8750  0.3242  0.9492
Ir  0.0000  0.0000  0.0000
Ir  0.7500  0.2500  0.5000
Pb  0.2500  0.7500  0.5000
Pb  0.5000  0.5000  0.0000

Values from the calculation:
ρ = 8.9 g cm⁻³
Energy relative to the elements = -1.14 eV per formula unit
M_tot = 0.00 μB per cell
Calculated total energy = -6.66 eV per atom
Crystal system = tetragonal
Density of states at the Fermi level = 0.95 states/eV per atom

***

No. 6
Computed, not measured: crystalline Li2TlTe at its relaxed geometry at the PBE level of DFT.

a = 9.5409 Å, b = 9.5409 Å, c = 9.5409 Å
α = 149.83°, β = 149.83°, γ = 43.20°
Fractional coordinates of all 8 atoms:
Li  0.0753  0.6250  0.9503
Li  0.3750  0.3253  0.4503
Li  0.6747  0.1250  0.0497
Li  0.8750  0.9247  0.5497
Tl  0.2500  0.7500  0.5000
Tl  0.5000  0.5000  0.0000
Te  0.0000  0.0000  0.0000
Te  0.7500  0.2500  0.5000

Values from the calculation:
E_form (uncorrected) = -165 kJ/mol of formula units
ρ = 5.2 g cm⁻³
M_tot = 0.00 μB per cell
Calculated total energy = -2.76 eV per atom
Crystal system = tetragonal
Density of states at the Fermi level = 0.09 states/eV per atom